No. 1
Tl2Bi5Pd12 after structural relaxation, computed with PBE.

## Properties
Its size of the total moment is 0.00 μB/cell. As for the crystal system: monoclinic. The calculated volume comes out at 21.45 Å³ per atom. The calculation puts the total energy at -0.1718 hartree per atom. As for the calculated formation energy: -12.05 kJ per mole of atoms. As for the density of states at the Fermi level: 9.5 states/eV per cell.

Cell: 7.5672 7.8002 8.0923 Å, 101.09 90.00 119.02°
Last column: nearest neighbours and their distance in Å.
Sites, in units of the cell vectors:
Pd  0.5061  0.4082  0.1613  3 Bi 2.73-2.77, 3 Pd 2.81-3.02, 1 Tl 2.85
Pd  0.1059  0.2119  0.2470  2 Bi 2.75-2.78, 2 Pd 2.81, 2 Tl 2.82
Pd  0.0979  0.5918  0.8387  3 Bi 2.73-2.77, 3 Pd 2.81-3.02, 1 Tl 2.85
Pd  0.8941  0.7881  0.7530  2 Bi 2.75-2.78, 2 Pd 2.81, 2 Tl 2.82
Pd  0.5321  0.0642  0.2566  2 Tl 2.86, 6 Pd 2.92-3.02, 2 Bi 2.96-3.05
Pd  0.4939  0.5918  0.8387  3 Bi 2.73-2.77, 3 Pd 2.81-3.02, 1 Tl 2.85
Pd  0.4131  0.2096  0.5725  3 Bi 2.73-2.83, 4 Pd 2.84-2.94
Pd  0.9021  0.4082  0.1613  3 Bi 2.73-2.77, 3 Pd 2.81-3.02, 1 Tl 2.85
Pd  0.7965  0.2096  0.5725  3 Bi 2.73-2.83, 4 Pd 2.84-2.94
Pd  0.5869  0.7904  0.4275  3 Bi 2.73-2.83, 4 Pd 2.84-2.94
Pd  0.2035  0.7904  0.4275  3 Bi 2.73-2.83, 4 Pd 2.84-2.94
Pd  0.4679  0.9358  0.7434  2 Tl 2.86, 6 Pd 2.92-3.02, 2 Bi 2.96-3.05
Bi  0.6890  0.3780  0.8693  7 Pd 2.75-2.96
Bi  0.0000  0.0000  0.5000  6 Pd 2.73-2.75
Bi  0.3110  0.6220  0.1307  7 Pd 2.75-2.96
Bi  0.7511  0.5022  0.4493  6 Pd 2.73-3.05
Bi  0.2489  0.4978  0.5507  6 Pd 2.73-3.05
Tl  0.7666  0.0000  0.0000  6 Pd 2.82-2.86
Tl  0.2334  0.0000  0.0000  6 Pd 2.82-2.86

No. 2
V3Fe3Rh after structural relaxation, computed with PBE.

## Properties
Its size of the total moment is 0.00 μB/cell. As for the crystal system: orthorhombic. The calculated volume comes out at 12.58 Å³ per atom. The calculation puts the total energy at -0.3144 hartree per atom. As for the calculated formation energy: 2.88 kJ per mole of atoms. As for the density of states at the Fermi level: 13.0 states/eV per cell.

Cell: 5.7332 5.7332 5.3631 Å, 90.00 90.00 91.89°
Last column: nearest neighbours and their distance in Å.
Sites, in units of the cell vectors:
Fe  0.0000  0.0000  0.7490  4 V 2.33-2.37
Fe  0.0000  0.5000  0.7470  6 V 2.41-2.45, 2 Rh 2.56, 1 Fe 2.65
Fe  0.0000  0.0000  0.2510  4 V 2.33-2.37
Fe  0.0000  0.5000  0.2530  6 V 2.41-2.45, 2 Rh 2.56, 1 Fe 2.65
Fe  0.5000  0.0000  0.2530  6 V 2.41-2.45, 2 Rh 2.56, 1 Fe 2.65
Fe  0.5000  0.0000  0.7470  6 V 2.41-2.45, 2 Rh 2.56, 1 Fe 2.65
V  0.7604  0.7604  0.5000  6 Fe 2.33-2.45
V  0.2870  0.7130  0.5000  4 Fe 2.41
V  0.7130  0.2870  0.5000  4 Fe 2.41
V  0.2396  0.2396  0.5000  6 Fe 2.33-2.45
V  0.7637  0.2363  0.0000  6 Fe 2.37-2.41, 2 Rh 2.54
V  0.2363  0.7637  0.0000  6 Fe 2.37-2.41, 2 Rh 2.54
Rh  0.6652  0.6652  0.0000  4 V 2.54-2.79, 4 Fe 2.56, 1 Rh 2.63
Rh  0.3348  0.3348  0.0000  4 V 2.54-2.79, 4 Fe 2.56, 1 Rh 2.63

No. 3
CsErUSe4 after structural relaxation, computed with PBE.

## Properties
For the energy relative to the elements, uncorrected, the calculation gives -1.35 eV per atom. Its size of the total moment is 4.00 μB/cell. As for the crystal system: orthorhombic. The calculated volume comes out at 36.00 Å³ per atom. The calculation puts the total energy at -0.2106 hartree per atom. As for the density of states at the Fermi level: 9.6 states/eV per cell.

Cell: 9.0577 8.8881 8.9993 Å, 120.41 90.00 120.63°
Last column: nearest neighbours and their distance in Å.
Sites, in units of the cell vectors:
Se  0.3221  0.0437  0.2718  1 U 2.86, 2 Er 2.90
Se  0.7315  0.4631  0.6797  2 U 2.89, 1 Er 2.90
Se  0.2784  0.9563  0.7282  1 U 2.86, 2 Er 2.90
Se  0.7216  0.0437  0.2718  1 U 2.86, 2 Er 2.90
Se  0.6779  0.9563  0.7282  1 U 2.86, 2 Er 2.90
Se  0.2685  0.5369  0.7166  2 U 2.89, 1 Er 2.90
Se  0.2685  0.5369  0.3203  2 U 2.89, 1 Er 2.90
Se  0.7315  0.4631  0.2834  2 U 2.89, 1 Er 2.90
U  0.5000  0.5000  0.5000  6 Se 2.86-2.89
U  0.0000  0.5000  0.5000  6 Se 2.86-2.89
Cs  0.8773  0.7546  0.1273  4 Se 3.25-3.26
Cs  0.1227  0.2454  0.8727  4 Se 3.25-3.26
Er  0.5000  0.0000  0.5000  6 Se 2.90
Er  0.5000  0.0000  0.0000  6 Se 2.90

No. 4
CrCd after structural relaxation, computed with PBE.

## Properties
Its size of the total moment is 4.04 μB/cell. As for the crystal system: monoclinic. The calculated volume comes out at 17.71 Å³ per atom. The calculation puts the total energy at -0.1816 hartree per atom. As for the calculated formation energy: 31.61 kJ per mole of atoms. As for the density of states at the Fermi level: 1.8 states/eV per cell.

Cell: 5.2787 5.2787 7.2515 Å, 69.92 69.92 34.30°
Last column: nearest neighbours and their distance in Å.
Sites, in units of the cell vectors:
Cd  0.3692  0.3692  0.2959  8 Cr 2.82-2.97, 4 Cd 2.95-3.11
Cd  0.3517  0.3517  0.7605  7 Cr 2.98-3.12, 6 Cd 3.02-3.31
Cd  0.0315  0.0315  0.9414  4 Cr 2.87-2.94, 7 Cd 2.95-3.11
Cr  0.0594  0.0594  0.4302  4 Cr 2.45-2.53
Cr  0.6845  0.6845  0.1463  2 Cr 2.53
Cr  0.6704  0.6704  0.5924  2 Cr 2.45

No. 5
CsAs2H2 after structural relaxation, computed with PBE.

## Properties
Its size of the total moment is 0.00 μB/cell. As for the crystal system: tetragonal. The calculated volume comes out at 20.81 Å³ per atom. The calculation puts the total energy at -0.1068 hartree per atom. As for the density of states at the Fermi level: 2.8 states/eV per cell. The energy above the most stable polymorph in this dataset is 655 meV per atom.

Cell: 4.8152 4.8152 5.6334 Å, 64.70 64.70 90.00°
Last column: nearest neighbours and their distance in Å.
Sites, in units of the cell vectors:
As  0.6270  0.6270  0.7459  1 As 2.28
As  0.3730  0.3730  0.2541  1 As 2.28
Cs  0.0000  0.0000  0.0000  8 H 3.29, 10 As 3.35-3.59
H  0.7500  0.2500  0.5000  4 As 2.65
H  0.2500  0.7500  0.5000  4 As 2.65

No. 6
BaGeBi2Pb after structural relaxation, computed with PBE.

## Properties
Its size of the total moment is 0.00 μB/cell. As for the crystal system: tetragonal. The calculated volume comes out at 49.75 Å³ per atom. The calculation puts the total energy at -0.0912 hartree per atom. As for the calculated formation energy: 108.08 kJ per mole of atoms. As for the density of states at the Fermi level: 4.6 states/eV per cell.

Cell: 6.3016 6.2647 6.3016 Å, 90.00 90.00 90.00°
Last column: nearest neighbours and their distance in Å.
Sites, in units of the cell vectors:
Bi  0.5000  0.0000  0.0000  2 Ba 3.15
Bi  0.0000  0.0000  0.5000  2 Ba 3.15
Ge  0.5000  0.5000  0.5000  8 Bi 4.44, 4 Pb 4.46
Pb  0.0000  0.5000  0.0000  2 Ba 3.13
Ba  0.0000  0.0000  0.0000  2 Pb 3.13, 4 Bi 3.15